1.
{"formula": "Ba2Sm2O5", "functional": "PBE", "state": "optimized geometry", "dft_energy_ev_per_atom": -7.16, "sg": "Cmce (64)", "magnetic_moment_mub_per_fu": 0.0, "lattice": [[6.536, -3.393, 0.000], [6.536, 3.393, 0.000], [0.000, 0.000, 6.794]], "species": ["Ba", "Ba", "Ba", "Ba", "Sm", "Sm", "Sm", "Sm", "O", "O", "O", "O", "O", "O", "O", "O", "O", "O"], "frac_coords": [[0.202, 0.202, 0.000], [0.298, 0.298, 0.500], [0.702, 0.702, 0.500], [0.798, 0.798, 0.000], [0.169, 0.831, 0.669], [0.331, 0.669, 0.169], [0.669, 0.331, 0.831], [0.831, 0.169, 0.331], [0.000, 0.000, 0.000], [0.038, 0.726, 0.347], [0.226, 0.538, 0.847], [0.274, 0.962, 0.347], [0.462, 0.774, 0.847], [0.500, 0.500, 0.500], [0.538, 0.226, 0.153], [0.726, 0.038, 0.653], [0.774, 0.462, 0.153], [0.962, 0.274, 0.653]]}

2.
{"formula": "Ta4Co4Si7", "functional": "PBE", "state": "optimized geometry", "dft_energy_ev_per_atom": -8.22, "sg": "I4/mmm (139)", "magnetic_moment_mub_per_fu": 0.0, "lattice": [[-6.273, 6.273, 2.489], [6.273, -6.273, 2.489], [6.273, 6.273, -2.489]], "species": ["Ta", "Ta", "Ta", "Ta", "Ta", "Ta", "Ta", "Ta", "Co", "Co", "Co", "Co", "Co", "Co", "Co", "Co", "Si", "Si", "Si", "Si", "Si", "Si", "Si", "Si", "Si", "Si", "Si", "Si", "Si", "Si"], "frac_coords": [[0.000, 0.190, 0.190], [0.000, 0.810, 0.810], [0.190, 0.000, 0.190], [0.366, 0.366, 0.733], [0.366, 0.634, 0.000], [0.634, 0.366, 0.000], [0.634, 0.634, 0.267], [0.810, 0.000, 0.810], [0.101, 0.601, 0.202], [0.101, 0.899, 0.500], [0.399, 0.601, 0.500], [0.399, 0.899, 0.798], [0.601, 0.101, 0.202], [0.601, 0.399, 0.500], [0.899, 0.101, 0.500], [0.899, 0.399, 0.798], [0.000, 0.406, 0.406], [0.000, 0.594, 0.594], [0.203, 0.500, 0.703], [0.209, 0.209, 0.417], [0.209, 0.791, 0.000], [0.251, 0.251, 0.000], [0.406, 0.000, 0.406], [0.500, 0.203, 0.703], [0.500, 0.797, 0.297], [0.594, 0.000, 0.594], [0.749, 0.749, 0.000], [0.791, 0.209, 0.000], [0.791, 0.791, 0.583], [0.797, 0.500, 0.297]]}

3.
{"formula": "ZnIr2Rh", "functional": "PBE", "state": "optimized geometry", "dft_energy_ev_per_atom": -6.42, "sg": "F-43m (216)", "magnetic_moment_mub_per_fu": 1.5, "lattice": [[6.159, 0.000, 0.000], [0.000, 6.159, 0.000], [0.000, 0.000, 6.159]], "species": ["Zn", "Zn", "Zn", "Zn", "Ir", "Ir", "Ir", "Ir", "Ir", "Ir", "Ir", "Ir", "Rh", "Rh", "Rh", "Rh"], "frac_coords": [[0.000, 0.000, 0.000], [0.000, 0.500, 0.500], [0.500, 0.000, 0.500], [0.500, 0.500, 0.000], [0.000, 0.000, 0.500], [0.000, 0.500, 0.000], [0.250, 0.250, 0.750], [0.250, 0.750, 0.250], [0.500, 0.000, 0.000], [0.500, 0.500, 0.500], [0.750, 0.250, 0.250], [0.750, 0.750, 0.750], [0.250, 0.250, 0.250], [0.250, 0.750, 0.750], [0.750, 0.250, 0.750], [0.750, 0.750, 0.250]]}